(1)
Density functional theory data (PBE) for a geometry-optimized LiDy3Rh2Pb3 structure.

For the total magnetization, the calculation gives 0.00 μB per formula unit. The value obtained for the raw total energy is -5.22 eV/atom. Its formation energy is -0.61 eV per atom.

The structure belongs to space group P-62m (No. 189); the cell edges are 7.9038, 7.9038 and 3.7067 Å and the angles 90.00°, 90.00° and 120.00°. The inequivalent atoms are Li at (0.0000, 0.0000, 0.0000), Dy at (0.0000, 0.4075, 0.0000), Rh at (0.3333, 0.6667, 0.5000) and Pb at (0.0000, 0.7331, 0.5000).


(2)
Density functional theory data (PBE) for a geometry-optimized Ce2Pr3PuN6 structure.

For the total magnetization, the calculation gives 5.15 μB per formula unit. The value obtained for the raw total energy is -8.91 eV/atom. The energy relative to the elements, uncorrected is -1.36 eV per atom.

The structure belongs to space group C2/m (No. 12); the cell edges are 6.240, 10.805 and 6.262 Å and the angles 90.00°, 109.44° and 90.00°. The inequivalent atoms are Ce at (0.000, 0.167, 0.000), Pr at (0.000, 0.000, 0.500), Pr at (0.000, 0.333, 0.500), Pu at (0.000, 0.500, 0.000), N at (0.239, 0.337, 0.227) and N at (0.249, 0.000, 0.229).


(3)
Density functional theory data (PBE) for a geometry-optimized Zr2GeS structure.

For the total magnetization, the calculation gives 0.00 μB per formula unit. The value obtained for the raw total energy is -7.21 eV/atom. The energy relative to the elements, uncorrected is -0.75 eV per atom. The energy above the most stable polymorph in this dataset is 0.313 eV/atom.

The structure belongs to space group Fm-3m (No. 225); the cell edges are 6.646, 6.646 and 6.646 Å and the angles 90.00°, 90.00° and 90.00°. The inequivalent atoms are Zr at (0.250, 0.250, 0.250), Ge at (0.000, 0.000, 0.000) and S at (0.000, 0.000, 0.500).


(4)
Density functional theory data (PBE) for a geometry-optimized LiZr2H structure.

For the total magnetization, the calculation gives 0.00 μB per formula unit. The value obtained for the raw total energy is -5.52 eV/atom. The energy above the most stable polymorph in this dataset is 0.000 eV/atom.

The structure belongs to space group R-3m (No. 166, hexagonal axes); the cell edges are 3.0371, 3.0371 and 26.4478 Å and the angles 90.00°, 90.00° and 120.00°. The inequivalent atoms are Li at (0.0000, 0.0000, 0.0000), Zr at (0.0000, 0.0000, 0.1124) and H at (0.0000, 0.0000, 0.5000).